VASP calculation (GGA-PBE) on a relaxed PmAl2Te4 crystal.

Output
Space group: No. 87

abc: 6.783 6.783 6.783
angles: 104.85 104.85 119.17
Last column: magnetic moment on the atom in μB.
Fractional positions:
Al  0.750  0.250  0.500  0.02
Al  0.250  0.750  0.500  0.02
Te  0.163  0.688  0.851  0.00
Te  0.312  0.163  0.475  0.00
Te  0.837  0.312  0.149  0.00
Te  0.688  0.837  0.525  0.00
Pm  0.500  0.500  0.000  0.31

***

VASP calculation (GGA-PBE) on a relaxed Pm3Al5Te12 crystal.

Output
Space group: No. 230

abc: 14.939 14.939 14.939
angles: 109.47 109.47 109.47
Fractional positions:
Te  0.708  0.586  0.176
Te  0.292  0.878  0.967
Te  0.676  0.467  0.590
Te  0.122  0.414  0.090
Te  0.324  0.792  0.414
Te  0.033  0.410  0.824
Te  0.878  0.292  0.467
Te  0.410  0.378  0.586
Te  0.033  0.622  0.708
Te  0.086  0.176  0.208
Te  0.586  0.878  0.410
Te  0.914  0.090  0.622
Te  0.467  0.792  0.878
Te  0.914  0.824  0.792
Te  0.467  0.676  0.090
Te  0.792  0.467  0.378
Te  0.122  0.708  0.533
Te  0.414  0.292  0.324
Te  0.176  0.086  0.708
Te  0.910  0.824  0.533
Te  0.090  0.176  0.467
Te  0.410  0.033  0.324
Te  0.414  0.122  0.590
Te  0.708  0.122  0.033
Te  0.292  0.414  0.824
Te  0.824  0.914  0.292
Te  0.676  0.208  0.586
Te  0.910  0.086  0.878
Te  0.533  0.208  0.122
Te  0.208  0.676  0.086
Te  0.378  0.967  0.792
Te  0.090  0.914  0.122
Te  0.533  0.324  0.910
Te  0.324  0.533  0.410
Te  0.622  0.033  0.208
Te  0.208  0.533  0.622
Te  0.792  0.324  0.914
Te  0.176  0.090  0.967
Te  0.622  0.590  0.914
Te  0.086  0.910  0.378
Te  0.967  0.378  0.292
Te  0.586  0.708  0.676
Te  0.590  0.622  0.414
Te  0.824  0.910  0.033
Te  0.878  0.586  0.910
Te  0.590  0.967  0.676
Te  0.378  0.410  0.086
Te  0.967  0.590  0.176
Pm  0.125  0.875  0.750
Pm  0.625  0.375  0.750
Pm  0.750  0.375  0.125
Pm  0.375  0.625  0.250
Pm  0.625  0.250  0.375
Pm  0.250  0.125  0.375
Pm  0.375  0.750  0.625
Pm  0.875  0.750  0.125
Pm  0.875  0.125  0.250
Pm  0.750  0.875  0.625
Pm  0.125  0.250  0.875
Pm  0.250  0.625  0.875
Al  0.500  0.500  0.500
Al  0.250  0.875  0.125
Al  0.500  0.000  0.000
Al  0.750  0.625  0.375
Al  0.000  0.000  0.500
Al  0.125  0.750  0.375
Al  0.500  0.500  0.000
Al  0.000  0.500  0.500
Al  0.500  0.000  0.500
Al  0.375  0.125  0.750
Al  0.000  0.000  0.000
Al  0.250  0.375  0.625
Al  0.625  0.875  0.250
Al  0.875  0.625  0.750
Al  0.750  0.125  0.875
Al  0.875  0.250  0.625
Al  0.125  0.375  0.250
Al  0.625  0.750  0.875
Al  0.000  0.500  0.000
Al  0.375  0.250  0.125

***

VASP calculation (GGA-PBE) on a relaxed Pm5AlTe4 crystal.

Output
Space group: No. 87

abc: 6.288 7.726 7.726
angles: 80.47 65.99 65.99
Fractional positions:
Te  0.199  0.207  0.398
Te  0.405  0.398  0.793
Te  0.803  0.793  0.602
Te  0.596  0.602  0.207
Pm  0.502  0.000  0.000
Pm  0.097  0.617  0.191
Pm  0.714  0.191  0.383
Pm  0.288  0.809  0.617
Pm  0.905  0.383  0.809
Al  0.001  0.000  0.000

***

VASP calculation (GGA-PBE) on a relaxed PmAlTe4 crystal.

Output
Space group: No. 88

abc: 6.986 6.986 9.451
angles: 111.69 111.69 90.00
Fractional positions:
Te  0.766  0.335  0.186
Te  0.984  0.915  0.314
Te  0.665  0.580  0.814
Te  0.330  0.400  0.314
Te  0.420  0.850  0.186
Te  0.600  0.016  0.686
Te  0.085  0.670  0.686
Te  0.150  0.234  0.814
Pm  0.000  0.000  0.000
Pm  0.750  0.250  0.500
Al  0.500  0.500  0.000
Al  0.250  0.750  0.500

***

VASP calculation (GGA-PBE) on a relaxed Pm3AlTl3Te8 crystal.

Output
Space group: No. 12

abc: 8.905 8.909 9.621
angles: 117.53 90.02 120.01
Fractional positions:
Tl  0.000  0.500  0.000
Tl  0.500  0.500  0.000
Tl  0.000  0.000  0.000
Te  0.780  0.561  0.296
Te  0.220  0.984  0.704
Te  0.780  0.016  0.296
Te  0.259  0.518  0.277
Te  0.236  0.016  0.296
Te  0.220  0.439  0.704
Te  0.764  0.984  0.704
Te  0.741  0.482  0.723
Pm  0.500  0.000  0.500
Pm  0.500  0.500  0.500
Pm  0.000  0.500  0.500
Al  0.000  0.000  0.500

***

VASP calculation (GGA-PBE) on a relaxed Pm4ThAl crystal.

Output
Space group: No. 123
Formation energy from the elements: -0.092 eV/atom

abc: 3.591 3.591 14.527
angles: 90.00 90.00 90.00
Fractional positions:
Pm  0.500  0.500  0.169
Pm  0.500  0.500  0.831
Pm  0.000  0.000  0.635
Pm  0.000  0.000  0.365
Th  0.000  0.000  0.000
Al  0.500  0.500  0.500

***

VASP calculation (GGA-PBE) on a relaxed PmThAl crystal.

Output
Space group: No. 107
Formation energy from the elements: -0.118 eV/atom
Energy above the lowest structure with this stoichiometry: 0 meV/atom

abc: 4.007 4.007 5.879
angles: 109.93 109.93 90.00
Fractional positions:
Al  0.948  0.948  0.897
Pm  0.297  0.297  0.593
Th  0.605  0.605  0.210

***

VASP calculation (GGA-PBE) on a relaxed PmThAl crystal.

Output
Space group: No. 156
Formation energy from the elements: -0.011 eV/atom
Energy above the lowest structure with this stoichiometry: 107 meV/atom

abc: 3.673 5.142 5.142
angles: 120.00 90.00 90.00
Fractional positions:
Al  0.311  0.333  0.667
Th  0.631  0.667  0.333
Pm  0.058  0.000  0.000

***

VASP calculation (GGA-PBE) on a relaxed PmThAl4 crystal.

Output
Space group: No. 216
Formation energy from the elements: -0.458 eV/atom
Energy above the lowest structure with this stoichiometry: 0 meV/atom

abc: 5.680 5.680 5.680
angles: 60.00 60.00 60.00
Fractional positions:
Al  0.625  0.124  0.625
Al  0.625  0.625  0.124
Al  0.124  0.625  0.625
Al  0.625  0.625  0.625
Pm  0.250  0.250  0.250
Th  0.000  0.000  0.000

***

VASP calculation (GGA-PBE) on a relaxed Pm2ThAl crystal.

Output
Space group: No. 123
Formation energy from the elements: -0.151 eV/atom
Energy above the lowest structure with this stoichiometry: 0 meV/atom

abc: 3.606 3.606 8.925
angles: 90.00 90.00 90.00
Fractional positions:
Th  0.500  0.500  0.500
Pm  0.000  0.000  0.779
Pm  0.000  0.000  0.221
Al  0.500  0.500  0.000

***

VASP calculation (GGA-PBE) on a relaxed Pm2ThAl crystal.

Output
Space group: No. 123
Formation energy from the elements: -0.134 eV/atom
Energy above the lowest structure with this stoichiometry: 17 meV/atom

abc: 4.856 4.865 4.865
angles: 90.00 90.00 90.00
Fractional positions:
Al  0.500  0.000  0.000
Pm  0.000  0.000  0.500
Pm  0.000  0.500  0.000
Th  0.500  0.500  0.500

***

VASP calculation (GGA-PBE) on a relaxed Pm2ThAl6 crystal.

Output
Space group: No. 191
Formation energy from the elements: -0.470 eV/atom

abc: 3.811 7.880 7.880
angles: 120.00 90.00 90.00
Fractional positions:
Al  0.500  0.667  0.667
Al  0.500  0.667  0.000
Al  0.500  0.000  0.333
Al  0.500  0.333  0.000
Al  0.500  0.333  0.333
Al  0.500  0.000  0.667
Pm  0.000  0.333  0.667
Pm  0.000  0.667  0.333
Th  0.000  0.000  0.000

***

VASP calculation (GGA-PBE) on a relaxed Pm12ThAl3 crystal.

Output
Space group: No. 123
Formation energy from the elements: -0.102 eV/atom

abc: 4.913 4.913 19.921
angles: 90.00 90.00 90.00
Fractional positions:
Pm  0.500  0.500  0.000
Pm  0.500  0.500  0.257
Pm  0.500  0.500  0.743
Pm  0.000  0.500  0.622
Pm  0.500  0.000  0.622
Pm  0.000  0.500  0.867
Pm  0.500  0.000  0.867
Pm  0.000  0.500  0.133
Pm  0.500  0.000  0.378
Pm  0.500  0.500  0.500
Pm  0.000  0.500  0.378
Pm  0.500  0.000  0.133
Al  0.000  0.000  0.500
Al  0.000  0.000  0.743
Al  0.000  0.000  0.257
Th  0.000  0.000  0.000

***

VASP calculation (GGA-PBE) on a relaxed Pm2ThAl crystal.

Output
Space group: No. 8
Formation energy from the elements: 0.002 eV/atom
Energy above the lowest structure with this stoichiometry: 153 meV/atom

abc: 3.623 3.623 10.912
angles: 80.37 80.37 59.97
Fractional positions:
Al  0.666  0.666  0.001
Pm  0.260  0.260  0.220
Pm  0.074  0.074  0.779
Th  0.500  0.500  0.500

***

VASP calculation (GGA-PBE) on a relaxed PmTh2Al6 crystal.

Output
Space group: No. 191
Formation energy from the elements: -0.452 eV/atom

abc: 3.787 7.912 7.912
angles: 120.00 90.00 90.00
Fractional positions:
Al  0.500  0.333  0.333
Al  0.500  0.333  0.000
Al  0.500  0.667  0.000
Al  0.500  0.667  0.667
Al  0.500  0.000  0.333
Al  0.500  0.000  0.667
Th  0.000  0.667  0.333
Th  0.000  0.333  0.667
Pm  0.000  0.000  0.000

***

VASP calculation (GGA-PBE) on a relaxed PmThAl4 crystal.

Output
Space group: No. 119
Formation energy from the elements: -0.445 eV/atom
Energy above the lowest structure with this stoichiometry: 13 meV/atom

abc: 4.318 4.318 8.228
angles: 105.21 105.21 90.00
Fractional positions:
Al  0.667  0.167  0.335
Al  0.418  0.418  0.835
Al  0.582  0.582  0.165
Al  0.833  0.333  0.665
Pm  0.250  0.750  0.500
Th  0.000  0.000  0.000

***

VASP calculation (GGA-PBE) on a relaxed Pm4ThAl5 crystal.

Output
Space group: No. 123
Formation energy from the elements: -0.331 eV/atom

abc: 3.648 3.648 19.113
angles: 90.00 90.00 90.00
Fractional positions:
Al  0.500  0.500  0.303
Al  0.500  0.500  0.500
Al  0.500  0.500  0.697
Al  0.500  0.500  0.104
Al  0.500  0.500  0.896
Pm  0.000  0.000  0.796
Pm  0.000  0.000  0.401
Pm  0.000  0.000  0.204
Pm  0.000  0.000  0.599
Th  0.000  0.000  0.000

***

VASP calculation (GGA-PBE) on a relaxed PmThAl crystal.

Output
Space group: No. 12
Formation energy from the elements: -0.036 eV/atom
Energy above the lowest structure with this stoichiometry: 82 meV/atom

abc: 5.005 5.005 7.439
angles: 82.61 82.61 66.12
Fractional positions:
Al  0.000  0.000  0.259
Al  0.000  0.000  0.741
Th  0.323  0.323  0.405
Th  0.677  0.677  0.595
Pm  0.321  0.321  0.895
Pm  0.679  0.679  0.105

***

VASP calculation (GGA-PBE) on a relaxed Pm5ThAl4 crystal.

Output
Space group: No. 123
Formation energy from the elements: -0.277 eV/atom

abc: 3.530 3.530 21.461
angles: 90.00 90.00 90.00
Fractional positions:
Pm  0.500  0.500  0.120
Pm  0.500  0.500  0.690
Pm  0.500  0.500  0.500
Pm  0.500  0.500  0.310
Pm  0.500  0.500  0.880
Al  0.000  0.000  0.786
Al  0.000  0.000  0.405
Al  0.000  0.000  0.595
Al  0.000  0.000  0.214
Th  0.000  0.000  0.000

***

VASP calculation (GGA-PBE) on a relaxed Pm2ThAl crystal.

Output
Space group: No. 225
Formation energy from the elements: 0.059 eV/atom
Energy above the lowest structure with this stoichiometry: 210 meV/atom

abc: 5.461 5.461 5.461
angles: 60.00 60.00 60.00
Fractional positions:
Pm  0.750  0.750  0.750
Pm  0.250  0.250  0.250
Th  0.500  0.500  0.500
Al  0.000  0.000  0.000

***

Number 1: electronic total energy -4.065 eV/atom. Number 2: electronic total energy -4.301 eV/atom. Number 3: electronic total energy -5.224 eV/atom. Number 4: electronic total energy -4.131 eV/atom. Number 5: electronic total energy -4.201 eV/atom. Number 6: electronic total energy -5.119 eV/atom. Number 7: electronic total energy -5.423 eV/atom. Number 8: electronic total energy -5.316 eV/atom. Number 9: electronic total energy -4.981 eV/atom. Number 10: electronic total energy -5.317 eV/atom. Number 11: electronic total energy -5.300 eV/atom. Number 12: electronic total energy -4.846 eV/atom. Number 13: electronic total energy -4.830 eV/atom. Number 14: electronic total energy -5.164 eV/atom. Number 15: electronic total energy -5.124 eV/atom. Number 16: electronic total energy -4.968 eV/atom. Number 17: electronic total energy -4.844 eV/atom. Number 18: electronic total energy -5.340 eV/atom. Number 19: electronic total energy -4.892 eV/atom. Number 20: electronic total energy -5.107 eV/atom.